[1]
Here is a crystal of YSn2Ir relaxed with PBEsol from the Alexandria database. Energies are from SCAN.

Output
**DOS at the Fermi energy**: 3.5 states/eV/cell
**ΔE_f**: -24.6 kJ per mole of atoms
**Magnetization**: 0.000 μB per atom
**SG**: Fm-3m (225)

abc: 6.886 6.886 6.886
angles: 90.00 90.00 90.00
Atoms (fractional coordinates):
Y  0.000  0.000  0.000
Y  0.000  0.500  0.500
Y  0.500  0.000  0.500
Y  0.500  0.500  0.000
Sn  0.250  0.250  0.250
Sn  0.250  0.250  0.750
Sn  0.250  0.750  0.250
Sn  0.250  0.750  0.750
Sn  0.750  0.250  0.250
Sn  0.750  0.250  0.750
Sn  0.750  0.750  0.250
Sn  0.750  0.750  0.750
Ir  0.000  0.000  0.500
Ir  0.000  0.500  0.000
Ir  0.500  0.000  0.000
Ir  0.500  0.500  0.500


[2]
Here is a crystal of LaZr2Au relaxed with PBEsol from the Alexandria database. Energies are from SCAN.

Output
**Energy relative to the lowest polymorph listed for this composition**: 0.0 meV/atom
**DOS at the Fermi energy**: 8.5 states/eV/cell
**ΔE_f**: -16.3 kJ per mole of atoms
**Magnetization**: 0.000 μB per atom
**SG**: I4/mmm (139)

abc: 4.363 4.363 9.463
angles: 90.00 90.00 90.00
Atoms (fractional coordinates):
La  0.000  0.000  0.000
La  0.500  0.500  0.500
Zr  0.000  0.500  0.250
Zr  0.000  0.500  0.750
Zr  0.500  0.000  0.250
Zr  0.500  0.000  0.750
Au  0.000  0.000  0.500
Au  0.500  0.500  0.000


[3]
Here is a crystal of RbHfMo3 relaxed with PBEsol from the Alexandria database. Energies are from SCAN.

Output
**DOS at the Fermi energy**: 6.4 states/eV/cell
**ΔE_f**: 215.1 kJ per mole of atoms
**Magnetization**: 1.023 μB per atom
**SG**: Pm-3m (221)

abc: 4.928 4.928 4.928
angles: 90.00 90.00 90.00
Atoms (fractional coordinates):
Rb  0.000  0.000  0.000
Hf  0.500  0.500  0.500
Mo  0.000  0.500  0.500
Mo  0.500  0.000  0.500
Mo  0.500  0.500  0.000


[4]
Here is a crystal of TlTeP2 relaxed with PBEsol from the Alexandria database. Energies are from SCAN.

Output
**Energy relative to the lowest polymorph listed for this composition**: 358.8 meV/atom
**DOS at the Fermi energy**: 1.8 states/eV/cell
**Magnetization**: 0.000 μB per atom
**SG**: Pmmm (47)
**Energy relative to the elements, uncorrected**: 417 meV per atom

abc: 3.482 4.258 6.438
angles: 90.00 90.00 90.00
Atoms (fractional coordinates):
Tl  0.000  0.000  0.000
Te  0.000  0.000  0.500
P  0.500  0.500  0.332
P  0.500  0.500  0.668


[5]
Here is a crystal of CsPdCl3 relaxed with PBEsol from the Alexandria database. Energies are from SCAN.

Output
**DOS at the Fermi energy**: 0.0 states/eV/cell
**Magnetization**: 0.000 μB per atom
**SG**: Ibam (72)
**Energy relative to the elements, uncorrected**: -1286 meV per atom

abc: 9.579 9.579 9.579
angles: 114.19 90.29 125.82
Atoms (fractional coordinates):
Cs  0.074  0.250  0.824
Cs  0.426  0.250  0.176
Cs  0.574  0.750  0.824
Cs  0.926  0.750  0.176
Pd  0.053  0.647  0.699
Pd  0.447  0.147  0.594
Pd  0.553  0.853  0.406
Pd  0.947  0.353  0.301
Cl  0.004  0.149  0.152
Cl  0.106  0.437  0.542
Cl  0.211  0.720  0.930
Cl  0.289  0.220  0.509
Cl  0.394  0.937  0.331
Cl  0.496  0.649  0.145
Cl  0.504  0.351  0.855
Cl  0.606  0.063  0.669
Cl  0.711  0.780  0.491
Cl  0.789  0.280  0.070
Cl  0.894  0.563  0.458
Cl  0.996  0.851  0.848


[6]
Here is a crystal of Th7Ru3 relaxed with PBEsol from the Alexandria database. Energies are from SCAN.

Output
**DOS at the Fermi energy**: 17.5 states/eV/cell
**ΔE_f**: -44.9 kJ per mole of atoms
**Magnetization**: 0.000 μB per atom
**SG**: P6_3mc (186)

abc: 9.803 9.803 6.224
angles: 90.00 90.00 120.00
Atoms (fractional coordinates):
Th  0.082  0.541  0.000
Th  0.126  0.251  0.711
Th  0.126  0.874  0.711
Th  0.251  0.126  0.211
Th  0.333  0.667  0.499
Th  0.459  0.541  0.000
Th  0.459  0.918  0.000
Th  0.541  0.082  0.500
Th  0.541  0.459  0.500
Th  0.667  0.333  0.999
Th  0.749  0.874  0.711
Th  0.874  0.126  0.211
Th  0.874  0.749  0.211
Th  0.918  0.459  0.500
Ru  0.186  0.372  0.253
Ru  0.186  0.814  0.253
Ru  0.372  0.186  0.753
Ru  0.628  0.814  0.253
Ru  0.814  0.186  0.753
Ru  0.814  0.628  0.753


[7]
Here is a crystal of Ba2SiTe4 relaxed with PBEsol from the Alexandria database. Energies are from SCAN.

Output
**Magnetization**: 0.000 μB per atom
**SG**: P2_1/m (11)
**Energy relative to the elements, uncorrected**: -1191 meV per atom

abc: 7.409 7.529 9.611
angles: 90.00 109.01 90.00
Atoms (fractional coordinates):
Ba  0.218  0.250  0.050
Ba  0.277  0.250  0.575
Ba  0.723  0.750  0.425
Ba  0.782  0.750  0.950
Si  0.207  0.750  0.792
Si  0.793  0.250  0.208
Te  0.014  0.511  0.271
Te  0.014  0.989  0.271
Te  0.372  0.750  0.066
Te  0.406  0.750  0.624
Te  0.594  0.250  0.376
Te  0.628  0.250  0.934
Te  0.986  0.011  0.729
Te  0.986  0.489  0.729


[8]
Here is a crystal of PPbS2N relaxed with PBEsol from the Alexandria database. Energies are from SCAN.

Output
**DOS at the Fermi energy**: 4.0 states/eV/cell
**Magnetization**: 1.185 μB per atom
**SG**: P4/mmm (123)
**Energy relative to the elements, uncorrected**: 1872 meV per atom

abc: 5.204 5.204 5.315
angles: 90.00 90.00 90.00
Atoms (fractional coordinates):
P  0.000  0.000  0.000
Pb  0.000  0.000  0.500
S  0.000  0.500  0.500
S  0.500  0.000  0.500
N  0.500  0.500  0.000


no.,VASP energy (eV/atom)
1,-42.951
2,-43.584
3,-35.384
4,-32.185
5,-20.190
6,-78.056
7,-35.208
8,-21.073